Entry 1:
Ni3OF5 | meta-GGA SCAN | single point on PBEsol structure

Summary:
Theoretical density, g cm⁻³: 5.09
Energy, eV/atom: -10.071

a = 5.4721 Å, b = 5.4721 Å, c = 6.9495 Å
α = 106.24°, β = 106.24°, γ = 73.72°
Fractional coordinates of all 18 atoms:
Ni 0.0000 0.0000 0.0000
Ni 0.0000 0.0000 0.5000
Ni 0.3135 0.3135 0.3404
Ni 0.3362 0.3362 0.8317
Ni 0.6638 0.6638 0.1683
Ni 0.6865 0.6865 0.6596
O 0.0895 0.0895 0.2948
O 0.9105 0.9105 0.7052
F 0.0257 0.6312 0.3371
F 0.2316 0.2316 0.0351
F 0.3026 0.6974 0.0000
F 0.3688 0.9743 0.6629
F 0.4450 0.4450 0.6355
F 0.5550 0.5550 0.3645
F 0.6312 0.0257 0.3371
F 0.6974 0.3026 0.0000
F 0.7684 0.7684 0.9649
F 0.9743 0.3688 0.6629



Entry 2:
KLi3In | meta-GGA SCAN | single point on PBEsol structure

Summary:
Theoretical density, g cm⁻³: 1.87
Energy, eV/atom: -9.840

a = 5.3713 Å, b = 5.3713 Å, c = 5.3713 Å
α = 90.00°, β = 90.00°, γ = 90.00°
Fractional coordinates of all 5 atoms:
K 0.0000 0.0000 0.0000
Li 0.0000 0.5000 0.5000
Li 0.5000 0.0000 0.5000
Li 0.5000 0.5000 0.0000
In 0.5000 0.5000 0.5000